! Ba3CdAu2 | the Alexandria database | PBE | relaxed; values from VASP
&SYSTEM
  ibrav = 0, nat = 6, ntyp = 3
/
ATOMIC_SPECIES
Ba 137.33 Ba.upf
Cd 112.41 Cd.upf
Au 196.97 Au.upf
CELL_PARAMETERS angstrom
4.069 0.000 0.000
0.000 4.069 0.000
0.000 0.000 12.574
ATOMIC_POSITIONS angstrom
Ba 0.000 0.000 0.000
Ba 0.000 0.000 3.988
Ba 0.000 0.000 8.586
Cd 2.034 2.034 6.287
Au 2.034 2.034 2.051
Au 2.034 2.034 10.523
! - Excess energy over the best structure of this formula in the dataset: 0 meV per atom
! - Raw total energy: -16.6 eV for the cell shown
! - Total magnetic moment: 0.00 μB/cell

! Rb3Sn2Pb4 | the Alexandria database | PBE | relaxed; values from VASP
&SYSTEM
  ibrav = 0, nat = 18, ntyp = 3
/
ATOMIC_SPECIES
Rb 85.47 Rb.upf
Sn 118.71 Sn.upf
Pb 207.20 Pb.upf
CELL_PARAMETERS angstrom
8.918 -6.120 0.000
8.918 6.120 0.000
-3.276 0.000 7.009
ATOMIC_POSITIONS angstrom
Rb 6.461 5.617 5.256
Rb 4.058 1.382 6.319
Rb 8.863 1.382 4.194
Rb 5.697 -1.382 2.814
Rb 10.501 -1.382 0.690
Rb 8.099 -5.617 1.752
Sn 2.427 1.574 2.972
Sn 0.789 -1.574 6.476
Sn 13.770 1.574 0.533
Sn 12.132 -1.574 4.037
Pb 3.605 1.485 0.123
Pb 5.334 2.636 2.612
Pb 1.967 -1.485 3.627
Pb 10.863 2.636 0.892
Pb 3.696 -2.636 6.117
Pb 12.593 1.485 3.382
Pb 9.225 -2.636 4.396
Pb 10.954 -1.485 6.886
! - Raw total energy: -53.5 eV for the cell shown
! - Total magnetic moment: 0.00 μB/cell

! KPr2TeO6 | the Alexandria database | PBE | relaxed; values from VASP
&SYSTEM
  ibrav = 0, nat = 10, ntyp = 4
/
ATOMIC_SPECIES
K 39.10 K.upf
Pr 140.91 Pr.upf
Te 127.60 Te.upf
O 16.00 O.upf
CELL_PARAMETERS angstrom
3.054 1.763 5.327
-3.054 1.763 5.327
0.000 -3.526 5.327
ATOMIC_POSITIONS angstrom
K 0.000 0.000 0.000
Pr 0.000 0.000 4.139
Pr 0.000 0.000 12.386
Te 0.000 0.000 7.443
O -1.539 -0.208 6.136
O -1.018 -1.636 8.481
O 0.950 -1.228 6.136
O -0.908 1.700 8.481
O 0.589 1.437 6.136
O 1.926 -0.063 8.481
! - Raw total energy: -65.8 eV for the cell shown
! - ΔE_f (raw): -22.267 eV per formula unit
! - Total magnetic moment: 1.02 μB/cell

! NdHo4Th | the Alexandria database | PBE | relaxed; values from VASP
&SYSTEM
  ibrav = 0, nat = 12, ntyp = 3
/
ATOMIC_SPECIES
Nd 144.24 Nd.upf
Ho 164.93 Ho.upf
Th 232.04 Th.upf
CELL_PARAMETERS angstrom
9.750 0.000 0.000
0.000 5.630 0.000
-0.009 0.000 6.968
ATOMIC_POSITIONS angstrom
Nd 0.000 0.000 0.000
Nd 4.875 2.815 0.000
Ho 1.622 2.815 1.747
Ho 1.618 2.815 5.220
Ho 3.248 0.000 1.749
Ho 3.243 0.000 5.221
Ho 6.497 0.000 1.747
Ho 6.493 0.000 5.220
Ho 8.123 2.815 1.749
Ho 8.118 2.815 5.221
Th -0.004 0.000 3.484
Th 4.870 2.815 3.484
! - Excess energy over the best structure of this formula in the dataset: 75 meV per atom
! - Raw total energy: -60.1 eV for the cell shown
! - Total magnetic moment: 0.00 μB/cell